Record 1
Computed, not measured: an optimized crystal structure of AcCd3Ni2 at the PBE level of DFT.

a b c (Å): 4.276 8.439 8.542
angles (deg): 117.51 90.00 104.68
Atoms (fractional coordinates):
Ac 0.857 0.714 0.921
Ac 0.143 0.286 0.079
Cd 0.321 0.642 0.550
Cd 0.966 0.932 0.636
Cd 0.611 0.223 0.720
Cd 0.389 0.777 0.280
Cd 0.034 0.068 0.364
Cd 0.679 0.358 0.450
Ni 0.491 0.981 0.855
Ni 0.509 0.019 0.145
Ni 0.800 0.599 0.317
Ni 0.200 0.401 0.683

Results
The value obtained for the energy is -38.57 eV/cell. As for the symmetry: C2/m (12). The formation energy is -0.145 eV per atom.

=====

Record 2
Computed, not measured: an optimized crystal structure of Ac4Cd3Ni at the PBE level of DFT.

a b c (Å): 3.946 3.946 16.302
angles (deg): 90.00 90.00 90.00
Atoms (fractional coordinates):
Ni 0.500 0.500 0.000
Ac 0.000 0.000 0.893
Ac 0.000 0.000 0.107
Ac 0.000 0.000 0.370
Ac 0.000 0.000 0.630
Cd 0.500 0.500 0.241
Cd 0.500 0.500 0.500
Cd 0.500 0.500 0.759

Results
The value obtained for the energy is -26.89 eV/cell. As for the symmetry: P4/mmm (123). The formation energy is -0.242 eV per atom.

=====

Record 3
Computed, not measured: an optimized crystal structure of AcCd2Ni9 at the PBE level of DFT.

a b c (Å): 5.001 5.001 15.915
angles (deg): 90.00 90.00 120.00
Each line ends with the local moment (μB).
Atoms (fractional coordinates):
Ac 0.333 0.667 0.750  -0.03
Ac 0.667 0.333 0.250  -0.03
Cd 0.333 0.667 0.532  -0.01
Cd 0.667 0.333 0.032  -0.01
Cd 0.667 0.333 0.468  -0.01
Cd 0.333 0.667 0.968  -0.01
Ni 0.000 0.000 0.000  0.17
Ni 0.000 0.000 0.500  0.17
Ni 0.000 0.000 0.250  0.31
Ni 0.000 0.000 0.750  0.31
Ni 0.333 0.667 0.250  0.15
Ni 0.667 0.333 0.750  0.15
Ni 0.167 0.335 0.123  0.24
Ni 0.665 0.833 0.123  0.24
Ni 0.167 0.833 0.123  0.24
Ni 0.833 0.665 0.623  0.24
Ni 0.335 0.167 0.623  0.24
Ni 0.833 0.167 0.623  0.24
Ni 0.335 0.167 0.877  0.24
Ni 0.833 0.665 0.877  0.24
Ni 0.833 0.167 0.877  0.24
Ni 0.665 0.833 0.377  0.24
Ni 0.167 0.335 0.377  0.24
Ni 0.167 0.833 0.377  0.24

Results
The value obtained for the energy is -118.15 eV/cell. As for the symmetry: P6_3/mmc (194). The formation energy is -0.092 eV per atom.

=====

Record 4
Computed, not measured: an optimized crystal structure of Ac7Cd2Ni2 at the PBE level of DFT.

a b c (Å): 7.473 7.648 7.473
angles (deg): 90.00 111.30 90.00
Atoms (fractional coordinates):
Ac 0.000 0.250 0.500
Ac 0.500 0.750 0.000
Ac 0.000 0.750 0.500
Ac 0.500 0.250 0.000
Ac 0.000 0.000 0.000
Ac 0.500 0.761 0.500
Ac 0.500 0.239 0.500
Cd 0.833 0.500 0.833
Cd 0.167 0.500 0.167
Ni 0.699 0.000 0.301
Ni 0.301 0.000 0.699

Results
The value obtained for the energy is -43.36 eV/cell. As for the symmetry: Cmmm (65). The formation energy is -0.110 eV per atom.

=====

Record 5
Computed, not measured: an optimized crystal structure of Ac6CdNi4 at the PBE level of DFT.

a b c (Å): 4.269 7.546 22.119
angles (deg): 90.00 90.00 106.43
Atoms (fractional coordinates):
Ac 0.500 0.000 0.000
Ac 0.500 0.000 0.500
Ac 0.036 0.071 0.347
Ac 0.964 0.929 0.653
Ac 0.964 0.929 0.847
Ac 0.036 0.071 0.153
Ac 0.768 0.536 0.417
Ac 0.232 0.464 0.583
Ac 0.232 0.464 0.917
Ac 0.768 0.536 0.083
Ac 0.342 0.684 0.250
Ac 0.658 0.316 0.750
Cd 0.657 0.313 0.250
Cd 0.343 0.687 0.750
Ni 0.864 0.727 0.540
Ni 0.403 0.807 0.123
Ni 0.136 0.273 0.460
Ni 0.597 0.193 0.877
Ni 0.864 0.727 0.960
Ni 0.136 0.273 0.040
Ni 0.597 0.193 0.623
Ni 0.403 0.807 0.377

Results
The value obtained for the energy is -101.82 eV/cell. As for the symmetry: Cmcm (63). The formation energy is -0.202 eV per atom.

=====

Record 6
Computed, not measured: an optimized crystal structure of Ac3Cd2Ni3 at the PBE level of DFT.

a b c (Å): 5.990 8.771 8.771
angles (deg): 120.00 90.00 90.00
Atoms (fractional coordinates):
Ac 0.750 0.284 0.000
Ac 0.750 0.716 0.716
Ac 0.750 0.000 0.284
Ac 0.250 0.716 0.000
Ac 0.250 0.284 0.284
Ac 0.250 0.000 0.716
Cd 0.000 0.333 0.667
Cd 0.500 0.667 0.333
Cd 0.000 0.667 0.333
Cd 0.500 0.333 0.667
Ni 0.750 0.610 0.000
Ni 0.750 0.390 0.390
Ni 0.750 0.000 0.610
Ni 0.250 0.390 0.000
Ni 0.250 0.610 0.610
Ni 0.250 0.000 0.390

Results
The value obtained for the energy is -65.87 eV/cell. As for the symmetry: P6_3/mcm (193). The formation energy is -0.179 eV per atom.

=====

energy of number 3 (AcCd2Ni9)? -118.15 eV/cell